Compound: Sm2Co2Cl
Source: the Alexandria database
Functional: PBE
Structure: relaxed

The structure in POSCAR format:
```
Sm2Co2Cl
1.0
3.755 0.003 -1.159
-2.087 3.329 -0.087
0.510 0.531 8.295
Co Sm Cl
2 2 1
direct
0.663 0.832 0.495
0.337 0.168 0.505
0.152 0.576 0.728
0.848 0.424 0.272
0.000 0.000 0.000
```

Values from the calculation:
- symmetry = R-3m

Compound: Th2PC
Source: the Alexandria database
Functional: PBE
Structure: relaxed

The structure in POSCAR format:
```
Th2PC
1.0
-2.285 0.589 -3.096
0.358 -5.520 -1.313
-6.503 -1.495 4.514
Th P C
4 2 2
direct
0.000 0.000 0.398
0.500 0.500 0.602
0.500 0.500 0.153
0.000 0.000 0.847
0.500 0.000 0.124
0.000 0.500 0.876
0.500 0.000 0.622
0.000 0.500 0.378
```

Values from the calculation:
- energy relative to the elements (eV/atom) = -0.893
- symmetry = Pmmn

Compound: DyHo3Si4
Source: the Alexandria database
Functional: PBE
Structure: relaxed

The structure in POSCAR format:
```
DyHo3Si4
1.0
3.947 0.000 0.000
0.000 6.198 -0.724
-1.974 -2.199 8.066
Si Ho Dy
4 3 1
direct
0.632 0.818 0.264
0.368 0.554 0.736
0.368 0.182 0.736
0.632 0.446 0.264
0.194 0.194 0.389
0.806 0.806 0.611
0.000 0.500 0.000
0.500 0.000 0.000
```

Values from the calculation:
- symmetry = Immm

Compound: LiNbIn2
Source: the Alexandria database
Functional: PBE
Structure: relaxed

The structure in POSCAR format:
```
LiNbIn2
1.0
3.111 0.000 0.000
0.000 5.024 0.000
0.000 0.000 5.024
In Nb Li
2 1 1
direct
0.000 0.500 0.000
0.000 0.000 0.500
0.500 0.500 0.500
0.500 0.000 0.000
```

Values from the calculation:
- energy relative to the elements (eV/atom) = -0.095
- symmetry = P4/mmm

Compound: PmThHg6
Source: the Alexandria database
Functional: PBE
Structure: relaxed

The structure in POSCAR format:
```
PmThHg6
1.0
-3.731 3.156 -1.157
-2.931 -4.850 -3.779
-1.566 0.570 6.604
Th Hg Pm
1 6 1
direct
0.000 0.084 0.916
0.500 0.913 0.576
0.000 0.587 0.413
0.500 0.424 0.087
0.000 0.587 0.924
0.500 0.913 0.087
0.000 0.076 0.413
0.500 0.416 0.584
```

Values from the calculation:
- energy relative to the elements (eV/atom) = -0.318
- symmetry = Amm2

Compound: InCoW2
Source: the Alexandria database
Functional: PBE
Structure: relaxed

The structure in POSCAR format:
```
InCoW2
1.0
2.795 0.048 0.000
-0.388 2.768 0.000
0.000 0.000 8.140
W In Co
2 1 1
direct
0.000 0.000 0.012
0.500 0.500 0.281
0.500 0.500 0.724
0.000 0.000 0.484
```

Values from the calculation:
- energy relative to the elements (eV/atom) = 0.295
- symmetry = Cmm2

Compound: ScBeH4
Source: the Alexandria database
Functional: PBE
Structure: relaxed

The structure in POSCAR format:
```
ScBeH4
1.0
3.924 -0.636 0.000
-2.891 4.575 0.000
0.000 0.000 5.865
Be H Sc
2 8 2
direct
0.899 0.101 0.750
0.101 0.899 0.250
0.472 0.250 0.250
0.130 0.735 0.434
0.264 0.107 0.750
0.130 0.735 0.066
0.528 0.750 0.750
0.736 0.893 0.250
0.870 0.265 0.566
0.870 0.265 0.934
0.117 0.414 0.250
0.883 0.586 0.750
```

Values from the calculation:
- symmetry = P2_1/m

Compound: Pr3YHo2Te6
Source: the Alexandria database
Functional: PBE
Structure: relaxed

The structure in POSCAR format:
```
Pr3YHo2Te6
1.0
-3.193 -0.530 2.951
2.840 -8.406 1.562
6.515 5.822 4.844
Y Ho Pr Te
1 2 3 6
direct
0.500 0.000 0.000
0.834 0.668 0.667
0.166 0.332 0.333
0.166 0.833 0.331
0.834 0.167 0.669
0.500 0.500 0.000
0.671 0.574 0.341
0.336 0.907 0.672
0.004 0.243 0.008
0.664 0.093 0.328
0.329 0.426 0.659
0.996 0.757 0.992
```

Values from the calculation:
- symmetry = C2/m

Compound: BeCu3
Source: the Alexandria database
Functional: PBE
Structure: relaxed

The structure in POSCAR format:
```
BeCu3
1.0
2.627 0.000 0.000
0.000 2.627 0.000
0.000 0.000 6.268
Cu Be
3 1
direct
0.000 0.000 0.500
0.500 0.500 0.780
0.500 0.500 0.220
0.000 0.000 0.000
```

Values from the calculation:
- energy relative to the elements (eV/atom) = -0.052
- symmetry = P4/mmm

Compound: RbZnCd2Ga
Source: the Alexandria database
Functional: PBE
Structure: relaxed

The structure in POSCAR format:
```
RbZnCd2Ga
1.0
5.455 0.000 0.000
0.000 5.455 0.000
0.000 0.000 5.186
Rb Cd Ga Zn
1 2 1 1
direct
0.500 0.500 0.500
0.500 0.000 0.000
0.000 0.500 0.000
0.000 0.000 0.000
0.000 0.000 0.500
```

Values from the calculation:
- energy relative to the elements (eV/atom) = 0.090
- symmetry = P4/mmm

Compound: SrAgOF2
Source: the Alexandria database
Functional: PBE
Structure: relaxed

The structure in POSCAR format:
```
SrAgOF2
1.0
4.386 0.000 0.000
0.000 4.386 0.000
0.000 0.000 4.208
F Ag O Sr
2 1 1 1
direct
0.500 0.000 0.000
0.000 0.500 0.000
0.000 0.000 0.000
0.000 0.000 0.500
0.500 0.500 0.500
```

Values from the calculation:
- symmetry = P4/mmm

Compound: Rb2ZnCuO
Source: the Alexandria database
Functional: PBE
Structure: relaxed

The structure in POSCAR format:
```
Rb2ZnCuO
1.0
-1.979 4.875 3.067
-3.736 -1.082 -0.692
-0.014 -3.248 5.152
Zn Rb O Cu
1 2 1 1
direct
0.000 0.500 0.000
0.000 0.000 0.500
0.500 0.000 0.000
0.000 0.000 0.000
0.500 0.500 0.500
```

Values from the calculation:
- symmetry = P4/mmm

| no. | E_tot (eV per cell) | total magnetic moment (μB/f.u.) | N(E_F) (states/eV per cell) |
| --- | --- | --- | --- |
| 1 | -29.44 | 0.00 | 4.52 |
| 2 | -66.09 | 0.00 | 2.17 |
| 3 | -44.44 | 0.00 | 6.39 |
| 4 | -17.84 | 0.00 | 0.98 |
| 5 | -16.53 | 0.00 | 5.93 |
| 6 | -34.57 | 0.00 | 2.30 |
| 7 | -49.95 | 0.00 | 3.10 |
| 8 | -65.13 | 0.00 | 5.93 |
| 9 | -16.22 | 0.00 | 0.95 |
| 10 | -6.65 | 0.00 | 1.87 |
| 11 | -22.49 | 0.00 | 1.08 |
| 12 | -13.67 | 0.00 | 0.57 |